[1]
Cr2CdCS: optimized geometry, PBE.

The structure in extended XYZ format:
```
5
Lattice="-1.474 1.717 3.183 2.511 -2.867 2.709 2.946 2.564 -0.018" Properties=species:S:1:pos:R:3 pbc="T T T"
Cd 1.256 -1.433 1.354
S 1.992 0.707 2.937
Cr 1.473 1.282 -0.009
C 0.000 0.000 0.000
Cr -0.737 0.858 1.592
```

Space group = P4/mmm
Uncorrected formation energy = 351.5 kJ/mol of formula units

[2]
Ti2CrCdC: optimized geometry, PBE.

The structure in extended XYZ format:
```
5
Lattice="4.291 0.000 0.000 0.000 4.291 0.000 0.000 0.000 3.852" Properties=species:S:1:pos:R:3 pbc="T T T"
Ti 2.146 0.000 0.000
C 0.000 0.000 0.000
Cr 0.000 0.000 1.926
Ti 0.000 2.146 0.000
Cd 2.146 2.146 1.926
```

Space group = P4/mmm
Formation energy = -242 meV/atom

[3]
CrCd2WC: optimized geometry, PBE.

The structure in extended XYZ format:
```
5
Lattice="-1.323 0.810 4.298 3.597 -1.512 1.392 1.841 4.176 -0.221" Properties=species:S:1:pos:R:3 pbc="T T T"
C 0.000 0.000 0.000
Cd 0.921 2.088 -0.110
Cd -0.661 0.405 2.149
Cr 2.057 1.737 2.735
W 1.798 -0.756 0.696
```

Space group = P4/mmm
Formation energy = 1026 meV/atom

[4]
Zr2CrCdC: optimized geometry, PBE.

The structure in extended XYZ format:
```
5
Lattice="-3.128 -3.166 -1.396 0.622 -2.366 3.971 -2.812 2.047 1.660" Properties=species:S:1:pos:R:3 pbc="T T T"
Zr -1.564 -1.583 -0.698
C 0.000 0.000 0.000
Cd -2.659 -1.742 2.118
Cr -1.406 1.023 0.830
Zr 0.311 -1.183 1.986
```

Space group = P4/mmm
Formation energy = -257 meV/atom

[5]
Cs2CdC: optimized geometry, PBE.

The structure in extended XYZ format:
```
4
Lattice="-4.172 -0.207 4.477 -2.400 5.190 2.191 -5.838 1.414 -1.188" Properties=species:S:1:pos:R:3 pbc="T T T"
Cs -3.102 1.599 1.370
Cd -6.205 3.198 2.740
C 0.000 0.000 0.000
Cs -9.307 4.797 4.110
```

Space group = Fm-3m
Formation energy = 1248 meV/atom

[6]
CsCdC2: optimized geometry, PBE.

The structure in extended XYZ format:
```
8
Lattice="-4.426 2.058 -0.046 -0.920 -1.881 4.409 0.201 6.344 5.449" Properties=species:S:1:pos:R:3 pbc="T T T"
Cd -1.696 2.276 6.020
C -4.297 5.384 6.802
Cs -3.449 4.245 3.793
C -1.724 2.123 1.896
Cs 0.000 0.000 0.000
Cd -2.673 0.089 2.182
C -2.185 1.183 4.101
C -2.084 4.354 6.826
```

Space group = I4_1/amd
Formation energy = 2117 meV/atom

[7]
Cs2CdCI6: optimized geometry, PBE.

The structure in extended XYZ format:
```
10
Lattice="-1.302 -7.670 2.425 2.166 -2.700 -7.377 5.903 -5.562 -0.732" Properties=species:S:1:pos:R:3 pbc="T T T"
I 3.012 -5.363 -1.654
I -0.386 -6.357 -0.164
I 0.228 -2.739 -1.308
Cd 0.000 0.000 0.000
C 0.432 -5.185 -2.476
I 0.636 -7.631 -3.645
Cs 2.516 -9.209 -0.392
I 1.250 -4.012 -4.788
Cs 4.250 -6.723 -5.293
I 3.755 -10.569 -4.031
```

Space group = I4/mmm
Uncorrected formation energy = -252.9 kJ/mol of formula units

[8]
CsKCdC2: optimized geometry, PBE.

The structure in extended XYZ format:
```
5
Lattice="5.813 0.000 0.000 0.000 6.854 0.000 0.000 0.000 5.813" Properties=species:S:1:pos:R:3 pbc="T T T"
Cs 0.000 0.000 0.000
C 2.906 0.000 0.000
K 0.000 3.427 0.000
Cd 2.906 3.427 2.906
C 0.000 0.000 2.906
```

Space group = P4/mmm
Formation energy = 2493 meV/atom